SrTbCe2: relaxed, PBE.

Cell lengths 3.5237, 3.5237, 12.9908 Å; angles 82.21, 82.21, 60.00 degrees
Site moments in Bohr magnetons follow the coordinates.
Sites, in units of the cell vectors:
Sr1 0.0000 0.0000 0.0000  -0.01
Tb1 0.5000 0.5000 0.5000  -0.01
Ce1 0.0910 0.0910 0.7269  0.81
Ce2 0.9090 0.9090 0.2731  0.81

Calculated values
E_form, eV per formula unit: 1.30
E_tot, eV per atom: -4.22

---

SrTb2Ce: relaxed, PBE.

Cell lengths 3.6649, 3.6649, 10.4651 Å; angles 90.00, 90.00, 90.00 degrees
Sites, in units of the cell vectors:
Sr1 0.5000 0.5000 0.5000
Tb1 0.0000 0.0000 0.7866
Tb2 0.0000 0.0000 0.2134
Ce1 0.5000 0.5000 0.0000

Calculated values
E_form, eV per formula unit: 0.57
E_tot, eV per atom: -4.08

---

SrCe2Tc: relaxed, PBE.

Cell lengths 3.4894, 3.4894, 10.0489 Å; angles 90.00, 90.00, 90.00 degrees
Site moments in Bohr magnetons follow the coordinates.
Sites, in units of the cell vectors:
Sr1 0.5000 0.5000 0.5000  0.01
Tc1 0.5000 0.5000 0.0000  -0.12
Ce1 0.0000 0.0000 0.8362  0.49
Ce2 0.0000 0.0000 0.1638  0.49

Calculated values
E_form, eV per formula unit: 0.48
E_tot, eV per atom: -5.86

---

SrCe2Tc: relaxed, PBE.

Cell lengths 3.9521, 3.9521, 10.7562 Å; angles 79.41, 79.41, 60.00 degrees
Site moments in Bohr magnetons follow the coordinates.
Sites, in units of the cell vectors:
Sr1 0.0000 0.0000 0.0000  0.01
Tc1 0.5000 0.5000 0.5000  -0.09
Ce1 0.1186 0.1186 0.6442  0.31
Ce2 0.8814 0.8814 0.3558  0.31

Calculated values
E_form, eV per formula unit: 0.94
E_tot, eV per atom: -5.74

---

SrCe3Tc: relaxed, PBE.

Cell lengths 5.4985, 5.4985, 5.4985 Å; angles 90.00, 90.00, 90.00 degrees
Site moments in Bohr magnetons follow the coordinates.
Sites, in units of the cell vectors:
Sr1 0.5000 0.5000 0.5000  0.04
Tc1 0.0000 0.0000 0.0000  -0.12
Ce1 0.0000 0.5000 0.0000  0.67
Ce2 0.0000 0.0000 0.5000  0.67
Ce3 0.5000 0.0000 0.0000  0.67

Calculated values
E_form, eV per formula unit: 0.64
E_tot, eV per atom: -5.84

---

Sr3CeTe4: relaxed, PBE.

Cell lengths 4.6194, 4.6194, 31.5987 Å; angles 90.00, 90.00, 120.00 degrees
Site moments in Bohr magnetons follow the coordinates.
Sites, in units of the cell vectors:
Sr1 0.0000 0.0000 0.0000  0.00
Sr2 0.0000 0.0000 0.5000  0.00
Sr3 0.3333 0.6667 0.8748  0.01
Sr4 0.6667 0.3333 0.1252  0.01
Sr5 0.6667 0.3333 0.3748  0.01
Sr6 0.3333 0.6667 0.6252  0.01
Te1 0.6667 0.3333 0.9372  0.00
Te2 0.3333 0.6667 0.0628  0.00
Te3 0.3333 0.6667 0.4372  0.00
Te4 0.6667 0.3333 0.5628  0.00
Te5 0.0000 0.0000 0.8116  -0.02
Te6 0.0000 0.0000 0.1884  -0.02
Te7 0.0000 0.0000 0.3116  -0.02
Te8 0.0000 0.0000 0.6884  -0.02
Ce1 0.6667 0.3333 0.7500  1.29
Ce2 0.3333 0.6667 0.2500  1.29

Calculated values
E_tot, eV per atom: -4.54

---

Sr2CeTe3: relaxed, PBE.

Cell lengths 8.0532, 8.0532, 8.1279 Å; angles 99.51, 99.51, 120.01 degrees
Site moments in Bohr magnetons follow the coordinates.
Sites, in units of the cell vectors:
Sr1 0.8333 0.1667 0.5000  0.01
Sr2 0.3333 0.6667 0.0000  0.01
Sr3 0.1687 0.8313 0.5000  0.01
Sr4 0.4980 0.5020 0.5000  0.01
Ce1 0.0005 0.9995 0.0000  1.15
Ce2 0.6662 0.3338 0.0000  1.15
Te1 0.5914 0.9248 0.7573  -0.01
Te2 0.0752 0.4086 0.2427  -0.01
Te3 0.9128 0.5849 0.7555  -0.01
Te4 0.2516 0.2462 0.7555  -0.01
Te5 0.4151 0.0872 0.2445  -0.01
Te6 0.7538 0.7484 0.2445  -0.01

Calculated values
E_tot, eV per atom: -4.68

---

SrCe2Te4: relaxed, PBE.

Cell lengths 4.5118, 7.7540, 15.5139 Å; angles 90.00, 90.00, 106.91 degrees
Site moments in Bohr magnetons follow the coordinates.
Sites, in units of the cell vectors:
Sr1 0.6131 0.2262 0.7500  0.00
Sr2 0.3869 0.7738 0.2500  0.00
Ce1 0.1339 0.2679 0.4328  0.93
Ce2 0.8661 0.7321 0.9328  0.93
Ce3 0.1339 0.2679 0.0672  0.93
Ce4 0.8661 0.7321 0.5672  0.93
Te1 0.7738 0.5476 0.1196  -0.02
Te2 0.7738 0.5476 0.3804  -0.02
Te3 0.2262 0.4524 0.8804  -0.02
Te4 0.2262 0.4524 0.6196  -0.02
Te5 0.9510 0.9020 0.7500  -0.02
Te6 0.0490 0.0980 0.2500  -0.02
Te7 0.5000 0.0000 0.0000  -0.03
Te8 0.5000 0.0000 0.5000  -0.03

Calculated values
E_tot, eV per atom: -5.16

---

Sr4CeTe6: relaxed, PBE.

Cell lengths 9.3045, 9.3045, 9.3045 Å; angles 89.90, 89.90, 90.10 degrees
Sites, in units of the cell vectors:
Sr1 0.3650 0.1350 0.2500
Sr2 0.8650 0.2500 0.3650
Sr3 0.2500 0.6350 0.1350
Sr4 0.2500 0.2500 0.7500
Sr5 0.7500 0.7500 0.2500
Sr6 0.7500 0.3650 0.8650
Sr7 0.1350 0.7500 0.6350
Sr8 0.6350 0.8650 0.7500
Ce1 0.5000 0.5000 0.5000
Ce2 0.0000 0.0000 0.0000
Te1 0.6856 0.0601 0.0786
Te2 0.0786 0.3144 0.0601
Te3 0.5786 0.4399 0.1856
Te4 0.9399 0.0786 0.6856
Te5 0.5601 0.1856 0.5786
Te6 0.1856 0.4214 0.4399
Te7 0.8144 0.5786 0.5601
Te8 0.4399 0.8144 0.4214
Te9 0.0601 0.9214 0.3144
Te10 0.4214 0.5601 0.8144
Te11 0.9214 0.6856 0.9399
Te12 0.3144 0.9399 0.9214

Calculated values
E_tot, eV per atom: -4.39

---

Sr5CeTe6: relaxed, PBE.

Cell lengths 8.1566, 8.1601, 8.1556 Å; angles 59.98, 80.41, 70.54 degrees
Site moments in Bohr magnetons follow the coordinates.
Sites, in units of the cell vectors:
Sr1 0.5000 0.1683 0.6633  0.01
Sr2 0.0000 0.3337 0.3327  0.01
Sr3 0.5000 0.5000 0.0000  0.01
Sr4 0.0000 0.6663 0.6673  0.01
Sr5 0.5000 0.8317 0.3367  0.01
Te1 0.7538 0.0820 0.3269  -0.01
Te2 0.2462 0.5911 0.3269  -0.01
Te3 0.2467 0.2445 0.0000  -0.01
Te4 0.7533 0.7555 0.0000  -0.01
Te5 0.7538 0.4089 0.6731  -0.01
Te6 0.2462 0.9180 0.6731  -0.01
Ce1 0.0000 0.0000 0.0000  1.16

Calculated values
E_tot, eV per atom: -4.41

---

SrCeTe3: relaxed, PBE.

Cell lengths 8.0074, 8.0074, 8.6198 Å; angles 62.32, 62.32, 60.00 degrees
Sites, in units of the cell vectors:
Sr1 0.3591 0.3591 0.9227
Sr2 0.6409 0.6409 0.0773
Ce1 0.1618 0.1618 0.5145
Ce2 0.8382 0.8382 0.4855
Te1 0.0287 0.4261 0.7505
Te2 0.7947 0.0287 0.7505
Te3 0.5739 0.2053 0.2495
Te4 0.2053 0.9713 0.2495
Te5 0.9713 0.5739 0.2495
Te6 0.4261 0.7947 0.7505

Calculated values
E_tot, eV per atom: -4.73

---

SrCe5Te6: relaxed, PBE.

Cell lengths 7.8430, 7.8403, 7.8614 Å; angles 60.09, 80.38, 70.43 degrees
Site moments in Bohr magnetons follow the coordinates.
Sites, in units of the cell vectors:
Sr1 0.0000 0.0000 0.0000  0.00
Te1 0.7471 0.0843 0.3372  0.02
Te2 0.2529 0.5785 0.3372  0.02
Te3 0.2514 0.2535 0.0000  0.02
Te4 0.7486 0.7465 0.0000  0.02
Te5 0.7471 0.4215 0.6628  0.02
Te6 0.2529 0.9157 0.6628  0.02
Ce1 0.5000 0.1652 0.6696  -1.04
Ce2 0.0000 0.3334 0.3332  -1.04
Ce3 0.5000 0.5000 0.0000  -1.04
Ce4 0.0000 0.6666 0.6668  -1.04
Ce5 0.5000 0.8348 0.3304  -1.04

Calculated values
E_tot, eV per atom: -5.58